9
Lattice="3.749 0.000 0.000 0.000 6.662 3.864 0.000 -6.662 3.864" Properties=species:S:1:pos:R:3 comment="Er2LuIn3AgIr2 PBE optimized geometry" mass_density_g_cm3=11.58 final_energy_ev_per_atom=-5.321 pbc="T T T"
Er 0.000 -3.931 3.864
Er 0.000 3.931 3.864
Lu 0.000 0.000 4.752
In 1.874 -1.805 2.634
In 1.874 1.805 2.634
In 1.874 0.000 7.211
Ag 0.000 0.000 1.587
Ir 1.874 -2.204 5.441
Ir 1.874 2.204 5.441